Entry 1:
Material: Tb3TmGe2C
Method: DFT, PBE
State: relaxed

a b c (Å): 8.322 8.322 8.322
angles (deg): 147.60 147.12 46.83
Fractional positions:
Tb  0.000  0.000  0.000
Tb  0.332  0.832  0.500
Tb  0.668  0.168  0.500
Tm  0.500  0.500  0.000
Ge  0.136  0.636  0.500
Ge  0.864  0.364  0.500
C  0.500  0.000  0.500

Values from the calculation:
Total magnetic moment = 0.0 μB per formula unit
Space-group type = Immm, No. 71
E = -5.9209 eV per atom

***

Entry 2:
Material: Zr2AsPb
Method: DFT, PBE
State: relaxed

a b c (Å): 5.050 5.050 5.050
angles (deg): 60.00 60.00 60.00
Fractional positions:
Zr  0.000  0.000  0.000
Zr  0.250  0.250  0.250
As  0.750  0.750  0.750
Pb  0.500  0.500  0.500

Values from the calculation:
Total magnetic moment = 1.0 μB per formula unit
Space-group type = F-43m, No. 216
E = -6.2185 eV per atom

***

Entry 3:
Material: MnNiBi
Method: DFT, PBE
State: relaxed

a b c (Å): 3.647 4.161 7.115
angles (deg): 90.00 90.00 90.00
Fractional positions:
Mn  0.000  0.000  0.000
Mn  0.000  0.500  0.248
Ni  0.500  0.000  0.249
Ni  0.500  0.500  0.479
Bi  0.000  0.000  0.556
Bi  0.500  0.500  0.900

Values from the calculation:
Total magnetic moment = 4.0 μB per formula unit
Space-group type = Pmm2, No. 25
E = -6.0962 eV per atom

***

Entry 4:
Material: Tb3Y4Cd
Method: DFT, PBE
State: relaxed

a b c (Å): 3.577 3.577 19.244
angles (deg): 90.00 90.00 90.00
Fractional positions:
Tb  0.000  0.000  0.000
Tb  0.000  0.000  0.262
Tb  0.000  0.000  0.738
Y  0.500  0.500  0.131
Y  0.500  0.500  0.392
Y  0.500  0.500  0.608
Y  0.500  0.500  0.869
Cd  0.000  0.000  0.500

Values from the calculation:
Total magnetic moment = 0.0 μB per formula unit
Space-group type = P4/mmm, No. 123
E = -5.1513 eV per atom

***

Entry 5:
Material: Nd7S5N
Method: DFT, PBE
State: relaxed

a b c (Å): 7.035 7.035 24.797
angles (deg): 90.00 90.00 147.97
Fractional positions:
Nd  0.046  0.954  0.500
Nd  0.108  0.892  0.780
Nd  0.168  0.832  0.205
Nd  0.266  0.734  0.560
Nd  0.339  0.661  0.412
Nd  0.390  0.610  0.846
Nd  0.443  0.557  0.129
Nd  0.557  0.443  0.629
Nd  0.610  0.390  0.346
Nd  0.661  0.339  0.912
Nd  0.734  0.266  0.060
Nd  0.832  0.168  0.705
Nd  0.892  0.108  0.280
Nd  0.954  0.046  0.000
S  0.022  0.978  0.888
S  0.086  0.914  0.096
S  0.194  0.806  0.669
S  0.250  0.750  0.310
S  0.471  0.529  0.741
S  0.529  0.471  0.241
S  0.750  0.250  0.810
S  0.806  0.194  0.169
S  0.914  0.086  0.596
S  0.978  0.022  0.388
N  0.369  0.631  0.044
N  0.631  0.369  0.544

Values from the calculation:
Total magnetic moment = 0.0 μB per formula unit
Space-group type = Cmc2_1, No. 36
E = -6.4465 eV per atom
Formation energy without anion corrections = -2071.2 kJ/mol of formula units

***

Entry 6:
Material: UGaH
Method: DFT, PBE
State: relaxed

a b c (Å): 4.125 4.125 3.308
angles (deg): 90.00 90.00 120.00
Fractional positions:
U  0.000  0.000  0.000
Ga  0.667  0.333  0.500
H  0.333  0.667  0.000

Values from the calculation:
Total magnetic moment = 1.9 μB per formula unit
Space-group type = P-6m2, No. 187
E = -5.6970 eV per atom